# Mg6Cu2Pb PBE optimized geometry
# - total DFT energy (no corrections) (eV/atom) = -2.448
# - energy relative to the elements (eV/atom) = -0.06
data_Mg6Cu2Pb
_chemical_formula_sum 'Mg24 Cu8 Pb4'
_symmetry_space_group_name_H-M 'I m m m'
_symmetry_Int_Tables_number 71
_symmetry_space_group_name_Hall '-I 2 2'
_cell_length_a 8.757
_cell_length_b 8.883
_cell_length_c 9.639
_cell_angle_alpha 90.00
_cell_angle_beta 90.00
_cell_angle_gamma 90.00
loop_
_atom_site_label
_atom_site_type_symbol
_atom_site_fract_x
_atom_site_fract_y
_atom_site_fract_z
Mg1 Mg 0.000 0.199 0.172
Mg2 Mg 0.187 0.213 0.500
Mg3 Mg 0.219 0.500 0.251
Cu1 Cu 0.000 0.000 0.375
Cu2 Cu 0.149 0.000 0.000
Pb1 Pb 0.000 0.500 0.000
Pb2 Pb 0.000 0.500 0.500